No. 1
This record from OQMD describes an optimized crystal structure of TbLu. The functional is PBE.

Values from the calculation:
Energy above the most stable polymorph in this dataset in eV/f.u.: 1.58

The structure in POSCAR format:
```
TbLu
1.0
6.420 0.000 0.000
0.000 6.420 0.000
0.000 0.000 6.420
Tb Lu
4 4
direct
0.000 0.000 0.000
0.000 0.500 0.500
0.500 0.000 0.500
0.500 0.500 0.000
0.000 0.000 0.500
0.000 0.500 0.000
0.500 0.000 0.000
0.500 0.500 0.500
```

***

No. 2
This record from OQMD describes an optimized crystal structure of TbLu. The functional is PBE.

Values from the calculation:
Energy above the most stable polymorph in this dataset in eV/f.u.: 3.92

The structure in POSCAR format:
```
TbLu
1.0
6.902 0.000 0.000
0.000 6.902 0.000
0.000 0.000 6.902
Tb Lu
4 4
direct
0.000 0.000 0.000
0.000 0.500 0.500
0.500 0.000 0.500
0.500 0.500 0.000
0.250 0.250 0.250
0.250 0.750 0.750
0.750 0.250 0.750
0.750 0.750 0.250
```

***

No. 3
This record from OQMD describes an optimized crystal structure of TbLu. The functional is PBE.

Values from the calculation:
Energy above the most stable polymorph in this dataset in eV/f.u.: 0.00

The structure in POSCAR format:
```
TbLu
1.0
3.565 0.000 0.000
-1.782 3.087 0.000
0.000 0.000 5.567
Tb Lu
1 1
direct
0.000 0.000 0.000
0.333 0.667 0.500
```

***

No. 4
This record from OQMD describes an optimized crystal structure of TbLuTc. The functional is PBE.

The structure in POSCAR format:
```
TbLuTc
1.0
6.691 0.000 0.000
0.000 6.691 0.000
0.000 0.000 6.691
Tb Lu Tc
4 4 4
direct
0.000 0.000 0.000
0.000 0.500 0.500
0.500 0.000 0.500
0.500 0.500 0.000
0.250 0.250 0.250
0.250 0.750 0.750
0.750 0.250 0.750
0.750 0.750 0.250
0.000 0.000 0.500
0.000 0.500 0.000
0.500 0.000 0.000
0.500 0.500 0.500
```

***

Magnetization for every record listed, in sequence, given in μB per cell: 2.93; 0.78; 0.02; 0.06.
Calculated formation energy for every record listed, in sequence, given in eV/atom: 0.799; 1.972; 0.011; 0.893.